No. 1
5
Lattice="4.055 0.000 0.000 0.000 4.055 0.000 -2.028 -2.028 5.704" Properties=species:S:1:pos:R:3 comment="GGA-PBE LiDyAlZn2, relaxed" spacegroup="I-4m2, No. 119" volume_a3_per_cell=94 delta_e_f_mev_per_atom=-281 pbc="T T T"
Li 2.028 0.000 2.852
Dy 0.000 0.000 0.000
Al 0.000 2.028 2.852
Zn 2.028 2.028 1.237
Zn 0.000 0.000 4.466

=====

No. 2
4
Lattice="5.050 0.000 0.000 2.525 4.374 0.000 2.525 1.458 4.124" Properties=species:S:1:pos:R:3 comment="GGA-PBE TbHoCdNi, relaxed" spacegroup="F-43m, No. 216" volume_a3_per_cell=91 e_above_lowest_polymorph_mev_per_atom=104 delta_e_f_mev_per_atom=-264 pbc="T T T"
Ni 5.050 2.916 2.062
Tb 2.525 1.458 1.031
Ho 7.576 4.374 3.093
Cd 0.000 0.000 0.000

=====

No. 3
10
Lattice="8.409 0.000 0.000 4.205 7.283 0.000 4.204 2.428 6.601" Properties=species:S:1:pos:R:3 comment="GGA-PBE K2NaPI6, relaxed" spacegroup="R3, No. 146" raw_formation_energy_ev_per_atom=-0.79 volume_a3_per_cell=404 pbc="T T T"
K 8.409 4.856 2.260
K 4.205 2.428 5.756
Na 12.613 7.283 3.641
P 4.205 2.428 0.253
I 6.467 1.916 1.852
I 2.630 0.724 1.852
I 3.517 4.643 1.852
I 9.929 6.571 5.214
I 9.135 2.681 5.214
I 6.163 5.315 5.214

=====

No. 4
3
Lattice="-4.602 1.099 0.831 -3.110 0.236 -3.653 -3.397 -3.362 -0.483" Properties=species:S:1:pos:R:3 comment="GGA-PBE SmAgAu, relaxed" spacegroup="F-43m, No. 216" volume_a3_per_cell=78 e_above_lowest_polymorph_mev_per_atom=145 delta_e_f_mev_per_atom=-434 pbc="T T T"
Au -2.777 -0.507 -0.826
Ag 0.000 0.000 0.000
Sm -5.555 -1.014 -1.653

=====

No. 5
4
Lattice="-4.485 0.049 1.094 -2.246 4.018 0.351 -3.138 1.175 -3.176" Properties=species:S:1:pos:R:3 comment="GGA-PBE KV2Re, relaxed" spacegroup="Fm-3m, No. 225" volume_a3_per_cell=70 e_above_lowest_polymorph_mev_per_atom=0 delta_e_f_mev_per_atom=1348 pbc="T T T"
Re -4.934 2.621 -0.866
K 0.000 0.000 0.000
V -2.467 1.311 -0.433
V -7.401 3.932 -1.299

=====

No. 6
5
Lattice="4.036 0.000 0.000 0.000 5.949 0.000 0.000 0.000 4.036" Properties=species:S:1:pos:R:3 comment="GGA-PBE BaBHAu2, relaxed" spacegroup="P4/mmm, No. 123" volume_a3_per_cell=97 pbc="T T T"
H 0.000 0.000 0.000
B 2.018 2.975 2.018
Au 0.000 0.000 2.018
Au 2.018 0.000 0.000
Ba 0.000 2.975 0.000

=====

No. 7
4
Lattice="4.505 0.000 0.000 2.252 3.901 0.000 2.252 1.300 3.678" Properties=species:S:1:pos:R:3 comment="GGA-PBE IrW2Au, relaxed" spacegroup="F-43m, No. 216" volume_a3_per_cell=65 e_above_lowest_polymorph_mev_per_atom=292 delta_e_f_mev_per_atom=393 pbc="T T T"
Au 4.505 2.601 1.839
Ir 6.757 3.901 2.759
W 0.000 0.000 0.000
W 2.252 1.300 0.920

=====

No. 8
16
Lattice="4.101 0.000 0.000 -2.051 5.147 0.000 0.000 0.000 13.842" Properties=species:S:1:pos:R:3 comment="GGA-PBE Tb3Be2Ir3, relaxed" spacegroup="Cmcm, No. 63" volume_a3_per_cell=292 delta_e_f_mev_per_atom=-688 pbc="T T T"
Tb 2.051 4.321 5.416
Tb 0.000 0.826 12.337
Tb 2.051 4.321 1.505
Tb 0.000 0.826 8.426
Tb 2.051 1.391 3.461
Tb 0.000 3.756 10.382
Be 2.051 2.949 12.519
Be 0.000 2.198 5.598
Be 2.051 2.949 8.244
Be 0.000 2.198 1.323
Ir 2.051 1.457 6.404
Ir 0.000 3.690 13.325
Ir 2.051 1.457 0.518
Ir 0.000 3.690 7.439
Ir 0.000 3.388 3.461
Ir 2.051 1.759 10.382

=====

no.,VASP energy (eV per atom)
1,-2.843
2,-4.241
3,-2.615
4,-4.050
5,-6.597
6,-3.084
7,-9.118
8,-6.679